*P*
Computed, not measured: an optimized crystal structure of TlReAu at the PBE level of DFT.

Values from the calculation:
The value obtained for the calculated volume is 115.3 Å³/cell.

Cell: 2.843 4.084 9.929 Å, 90.00 90.00 90.00°
Space group Imm2 (No. 44)
Asymmetric unit:
Tl 0.000 0.000 0.000 (multiplicity 2)
Re 0.000 0.000 0.680 (multiplicity 2)
Au 0.000 0.000 0.312 (multiplicity 2)


*Q*
Computed, not measured: an optimized crystal structure of TlReAu at the PBE level of DFT.

Values from the calculation:
The value obtained for the calculated volume is 56.4 Å³/cell.

Cell: 2.9917 2.9917 7.2799 Å, 90.00 90.00 120.00°
Space group P3m1 (No. 156)
Asymmetric unit:
Tl 0.0000 0.0000 0.0000 (multiplicity 1)
Re 0.6667 0.3333 0.6620 (multiplicity 1)
Au 0.3333 0.6667 0.3594 (multiplicity 1)


*R*
Computed, not measured: an optimized crystal structure of TlReAu at the PBE level of DFT.

Values from the calculation:
The value obtained for the calculated volume is 118.1 Å³/cell.

Cell: 2.853 2.853 14.515 Å, 90.00 90.00 90.00°
Space group I4mm (No. 107)
Asymmetric unit:
Tl 0.000 0.000 0.000 (multiplicity 2)
Re 0.000 0.000 0.332 (multiplicity 2)
Au 0.000 0.000 0.694 (multiplicity 2)


*S*
Computed, not measured: an optimized crystal structure of TlReAu at the PBE level of DFT.

Values from the calculation:
The value obtained for the calculated volume is 228.8 Å³/cell.

Cell: 2.958 5.107 15.141 Å, 90.00 90.00 90.00°
Space group Fmm2 (No. 42)
Asymmetric unit:
Tl 0.000 0.000 0.000 (multiplicity 4)
Re 0.000 0.000 0.332 (multiplicity 4)
Au 0.000 0.000 0.677 (multiplicity 4)


Computed relative energies in units of eV/atom: *P* 0.188; *Q* 0.000; *R* 0.074; *S* 0.049


*P*
Computed, not measured: an optimized crystal structure of VReAu2 at the PBE level of DFT.

Values from the calculation:
The value obtained for the calculated volume is 262.7 Å³/cell.

Cell: 6.404 6.404 6.404 Å, 90.00 90.00 90.00°
Space group Fm-3m (No. 225)
Asymmetric unit:
V 0.000 0.000 0.000 (multiplicity 4)
Re 0.000 0.000 0.500 (multiplicity 4)
Au 0.250 0.250 0.250 (multiplicity 8)


*Q*
Computed, not measured: an optimized crystal structure of VReAu2 at the PBE level of DFT.

Values from the calculation:
The value obtained for the calculated volume is 273.6 Å³/cell.

Cell: 3.741 3.741 19.552 Å, 90.00 90.00 90.00°
Space group I-42d (No. 122)
Asymmetric unit:
V 0.000 0.000 0.000 (multiplicity 4)
Re 0.000 0.000 0.500 (multiplicity 4)
Au 0.249 0.250 0.625 (multiplicity 8)


Computed relative energies in units of eV/atom: *P* 0.000; *Q* 0.070


*P*
Computed, not measured: an optimized crystal structure of ReWAu at the PBE level of DFT.

Values from the calculation:
The value obtained for the calculated volume is 230.0 Å³/cell.

Cell: 6.127 6.127 6.127 Å, 90.00 90.00 90.00°
Space group F-43m (No. 216)
Asymmetric unit:
Re 0.000 0.000 0.000 (multiplicity 4)
W 0.250 0.250 0.750 (multiplicity 4)
Au 0.000 0.000 0.500 (multiplicity 4)


*Q*
Computed, not measured: an optimized crystal structure of ReWAu at the PBE level of DFT.

Values from the calculation:
The value obtained for the calculated volume is 99.0 Å³/cell.

Cell: 3.308 3.308 9.045 Å, 90.00 90.00 90.00°
Space group I4mm (No. 107)
Asymmetric unit:
Re 0.000 0.000 0.000 (multiplicity 2)
W 0.000 0.000 0.364 (multiplicity 2)
Au 0.000 0.000 0.684 (multiplicity 2)


Computed relative energies in units of eV/atom: *P* 0.471; *Q* 0.000